CdPd6Au8 PBE-GGA relaxed; symmetry = R-3 (148); D(E_F) = 2.9 states/eV per cell; E above lowest polymorph = 0 meV/atom; energy = -58.3 eV per cell; formation energy from the elements = 0.2 kJ per mole of atoms
1.0
3.877 2.238 5.484
-3.877 2.238 5.484
0.000 -4.477 5.484
Cd Pd Au
1 6 8
direct
0.000 0.000 0.000 Cd
0.055 0.379 0.713 Pd
0.287 0.945 0.621 Pd
0.379 0.713 0.055 Pd
0.621 0.287 0.945 Pd
0.713 0.055 0.379 Pd
0.945 0.621 0.287 Pd
0.116 0.788 0.456 Au
0.212 0.544 0.884 Au
0.326 0.326 0.326 Au
0.456 0.116 0.788 Au
0.544 0.884 0.212 Au
0.674 0.674 0.674 Au
0.788 0.456 0.116 Au
0.884 0.212 0.544 Au